Entry 1:
Compound: VSnAu
Source: Alexandria via LeMat-Bulk
Functional: PBE
Structure: optimized geometry

```
data_VSnAu
_space_group_name_H-M_alt 'P m m m'
_space_group_IT_number 47
_space_group_name_Hall '-P 2 2'
_cell_length_a 2.942
_cell_length_b 4.644
_cell_length_c 4.670
_cell_angle_alpha 90.00
_cell_angle_beta 90.00
_cell_angle_gamma 90.00
loop_
_atom_site_label
_atom_site_type_symbol
_atom_site_fract_x
_atom_site_fract_y
_atom_site_fract_z
V1 V 0.000 0.000 0.000
Sn1 Sn 0.500 0.000 0.500
Au1 Au 0.500 0.500 0.000
```

Calculated values
The formation energy comes out at 0.11 eV per atom.



Entry 2:
Compound: VSn2Au
Source: Alexandria via LeMat-Bulk
Functional: PBE
Structure: optimized geometry

```
data_VSn2Au
_space_group_name_H-M_alt 'F m -3 m'
_space_group_IT_number 225
_space_group_name_Hall '-F 4 2 3'
_cell_length_a 6.966
_cell_length_b 6.966
_cell_length_c 6.966
_cell_angle_alpha 90.00
_cell_angle_beta 90.00
_cell_angle_gamma 90.00
loop_
_atom_site_label
_atom_site_type_symbol
_atom_site_fract_x
_atom_site_fract_y
_atom_site_fract_z
V1 V 0.000 0.000 0.000
Sn1 Sn 0.250 0.250 0.250
Au1 Au 0.000 0.000 0.500
```

Calculated values
The formation energy comes out at 0.26 eV per atom. Its offset from the most stable computed form is 0.098 eV per atom.



Entry 3:
Compound: VSnW2Au
Source: Alexandria via LeMat-Bulk
Functional: PBE
Structure: optimized geometry

```
data_VSnW2Au
_space_group_name_H-M_alt 'P 4/m m m'
_space_group_IT_number 123
_space_group_name_Hall '-P 4 2'
_cell_length_a 4.934
_cell_length_b 4.934
_cell_length_c 4.888
_cell_angle_alpha 90.00
_cell_angle_beta 90.00
_cell_angle_gamma 90.00
loop_
_atom_site_label
_atom_site_type_symbol
_atom_site_fract_x
_atom_site_fract_y
_atom_site_fract_z
V1 V 0.000 0.000 0.000
Sn1 Sn 0.500 0.500 0.000
W1 W 0.000 0.500 0.500
Au1 Au 0.500 0.500 0.500
```

Calculated values
The formation energy comes out at 2.49 eV per atom.



Entry 4:
Compound: SnW2Au
Source: Alexandria via LeMat-Bulk
Functional: PBE
Structure: optimized geometry

```
data_SnW2Au
_space_group_name_H-M_alt 'I -4 2 d'
_space_group_IT_number 122
_space_group_name_Hall 'I -4 2bw'
_cell_length_a 7.511
_cell_length_b 7.511
_cell_length_c 5.504
_cell_angle_alpha 90.00
_cell_angle_beta 90.00
_cell_angle_gamma 90.00
loop_
_atom_site_label
_atom_site_type_symbol
_atom_site_fract_x
_atom_site_fract_y
_atom_site_fract_z
Sn1 Sn 0.000 0.000 0.000
W1 W 0.245 0.250 0.625
Au1 Au 0.000 0.000 0.500
```

Calculated values
The formation energy comes out at 1.07 eV per atom.